Compound: Ca3CeZn8
Source: the Alexandria database
Functional: PBE
Structure: optimized geometry

```
12
Lattice="-2.9552 -3.6888 -2.9010 -0.5390 -5.1978 1.8573 -8.6246 -0.5632 4.2009" Properties=species:S:1:pos:R:3 pbc="T T T"
Ca -3.4974 -8.8855 -1.0418
Ca -6.0636 -4.7235 1.5812
Ca -8.8702 -3.8210 3.2926
Zn -8.9207 -6.1275 0.9758
Zn -4.6395 -5.8341 -1.1136
Zn -10.4834 -6.6390 3.2181
Zn -4.4246 -1.9139 1.6399
Zn -7.7163 -6.8796 3.3477
Zn -3.4288 -6.5902 1.2706
Zn -9.1894 -8.7184 1.9016
Zn -3.1587 -3.9858 0.3400
Ce -6.2790 -7.9910 0.6543
```

Calculated values
The space group is R3m. The energy above the most stable polymorph in this dataset comes out at 0.05 eV/f.u. The calculation puts the magnetization at 0.5 μB/cell. The value obtained for the formation energy is -0.249 eV/atom.

=====

Compound: Rb2Li2PbO4
Source: the Alexandria database
Functional: PBE
Structure: optimized geometry

```
9
Lattice="3.4902 0.0000 0.0000 0.0000 6.6080 0.2913 -1.7451 -2.3496 5.8197" Properties=species:S:1:pos:R:3 pbc="T T T"
O 1.7451 5.1086 0.4617
O 0.0000 -0.8502 5.6493
O 1.7451 4.2806 3.8880
O 0.0000 -0.0222 2.2230
Rb 1.7451 1.1980 4.3197
Rb 0.0000 3.0604 1.7913
Pb 0.0000 0.0000 0.0000
Li 1.7451 5.6935 2.3937
Li 0.0000 -1.4352 3.7173
```

Calculated values
The formation energy (no corrections) comes out at -1408 meV per atom. The space group is C2/m. The calculation puts the magnetization at 0.0 μB/cell.

=====

Compound: LaThTe3
Source: the Alexandria database
Functional: PBE
Structure: optimized geometry

```
10
Lattice="5.3858 0.0000 0.0000 -2.6929 8.6757 0.5224 0.0000 -0.9541 8.7896" Properties=species:S:1:pos:R:3 pbc="T T T"
Te 0.0000 0.5096 2.2485
Te 2.6929 5.2887 3.9224
Te 2.6929 7.2120 7.0635
Te 0.0000 4.5094 8.9701
Te 0.0000 2.4329 5.3896
Te 2.6929 3.2122 0.3419
Th 0.0000 1.1111 8.2683
Th 2.6929 6.6105 1.0437
La 0.0000 5.5434 5.9475
La 2.6929 2.1782 3.3645
```

Calculated values
The formation energy (no corrections) comes out at -1129 meV per atom. The space group is C2/m. The energy above the most stable polymorph in this dataset comes out at 1.35 eV/f.u. The calculation puts the magnetization at 0.0 μB/cell.

=====

Compound: Cs4Sn3HgI12
Source: the Alexandria database
Functional: PBE
Structure: optimized geometry

```
20
Lattice="10.7683 0.0000 0.0000 -3.5894 10.1524 0.0000 -3.5894 -5.0762 8.7923" Properties=species:S:1:pos:R:3 pbc="T T T"
I 5.3941 7.6284 0.0000
I -1.7947 1.2691 6.5942
I 1.7947 6.3453 2.1981
I 5.3841 3.8072 2.1981
I -1.7848 1.2620 2.1859
I 5.3941 -3.8142 6.6064
I 1.7947 -1.2691 6.5942
I 1.7848 -1.2620 2.1859
I -1.7947 5.0762 4.3961
I -5.3941 3.8142 6.6064
I 5.3841 0.0000 4.3961
I 1.7848 2.5241 0.0000
Cs 1.7947 2.5381 4.3961
Cs -1.7947 -2.5381 4.3961
Cs -1.7947 5.0762 0.0000
Cs 5.3841 0.0000 0.0000
Sn 3.5894 -2.5381 4.3961
Sn -3.5894 2.5381 4.3961
Sn 3.5894 5.0762 0.0000
Hg 0.0000 0.0000 0.0000
```

Calculated values
The formation energy (no corrections) comes out at -890 meV per atom. The space group is Im-3m. The calculation puts the magnetization at 0.0 μB/cell.

=====

Compound: Nd2Y3ErAs6
Source: the Alexandria database
Functional: PBE
Structure: optimized geometry

```
12
Lattice="-1.2103 -2.8310 2.8132 7.6083 0.1240 3.3981 -3.8299 7.8747 3.1854" Properties=species:S:1:pos:R:3 pbc="T T T"
As 5.7121 0.1254 2.5838
As 2.4075 0.7858 4.9181
As 0.1605 4.3819 4.4787
As -1.4922 0.7317 3.1857
As 4.0602 4.4361 6.2110
As -3.1440 5.0423 6.8130
Y -2.2932 2.9041 5.0273
Y 3.1990 -1.3535 3.1057
Y 4.8613 2.2636 4.3694
Nd 1.5138 2.9868 6.7484
Nd 1.0543 2.1809 2.6483
Er -0.6052 -1.4155 1.4066
```

Calculated values
The space group is C2/m. The calculation puts the magnetization at 0.0 μB/cell. The value obtained for the formation energy is -1.527 eV/atom.

=====

Compound: BaLiSn2Pd
Source: the Alexandria database
Functional: PBE
Structure: optimized geometry

```
5
Lattice="5.2540 0.0000 0.0000 0.0000 5.2540 0.0000 0.0000 0.0000 5.0888" Properties=species:S:1:pos:R:3 pbc="T T T"
Li 0.0000 0.0000 2.5444
Sn 0.0000 2.6270 0.0000
Sn 2.6270 0.0000 0.0000
Pd 0.0000 0.0000 0.0000
Ba 2.6270 2.6270 2.5444
```

Calculated values
The space group is P4/mmm. The energy above the most stable polymorph in this dataset comes out at 0.71 eV/f.u. The calculation puts the magnetization at 0.0 μB/cell. The value obtained for the formation energy is -0.446 eV/atom.

=====

Compound: ScTlFeMo2
Source: the Alexandria database
Functional: PBE
Structure: optimized geometry

```
5
Lattice="-2.7566 3.6707 -2.1491 -2.7538 0.1593 3.8045 3.0446 3.4911 2.0576" Properties=species:S:1:pos:R:3 pbc="T T T"
Mo 1.5223 1.7455 1.0288
Mo -1.3783 1.8354 -1.0745
Sc -1.2329 3.6606 1.8565
Tl 0.0000 0.0000 0.0000
Fe -1.3769 0.0797 1.9022
```

Calculated values
The space group is P4/mmm. The energy above the most stable polymorph in this dataset comes out at 0.00 eV/f.u. The calculation puts the magnetization at 3.7 μB/cell. The value obtained for the formation energy is 1.986 eV/atom.

=====

Compound: La2SmTl3Te6
Source: the Alexandria database
Functional: PBE
Structure: optimized geometry

```
12
Lattice="8.0024 0.0002 0.0000 -3.9991 6.9315 0.0000 -1.3352 -2.3119 8.1514" Properties=species:S:1:pos:R:3 pbc="T T T"
Te -0.0272 -0.0471 6.3458
Te 2.6158 -0.0006 1.7918
Te 3.9759 2.3544 6.3597
Te 2.6953 4.6668 1.8057
Te 0.0523 4.6204 6.3597
Te -1.3078 2.2654 1.7918
Tl 5.3184 0.0088 4.0757
Tl 1.3340 2.3099 4.0757
Tl -2.6503 4.6110 4.0757
La 3.9990 2.3123 0.0000
La 0.0043 4.6194 0.0000
Sm 0.0000 0.0000 0.0000
```

Calculated values
The formation energy (no corrections) comes out at -1127 meV per atom. The space group is C2/m. The calculation puts the magnetization at 0.0 μB/cell.

=====

Compound: La4Zn5
Source: the Alexandria database
Functional: PBE
Structure: optimized geometry

```
9
Lattice="-4.7679 4.7679 2.4874 4.7679 -4.7679 2.4874 4.7679 4.7679 -2.4874" Properties=species:S:1:pos:R:3 pbc="T T T"
Zn 1.3824 -1.3824 2.4874
Zn 3.3855 3.3855 0.0000
Zn 0.0000 0.0000 0.0000
Zn -1.3824 1.3824 2.4874
Zn 1.3824 1.3824 2.4874
La 6.5792 0.0000 0.0000
La 0.0000 6.5792 0.0000
La 2.9565 0.0000 0.0000
La 0.0000 2.9565 0.0000
```

Calculated values
The space group is I4/mmm. The energy above the most stable polymorph in this dataset comes out at 0.38 eV/f.u. The calculation puts the magnetization at 0.0 μB/cell. The value obtained for the formation energy is -0.158 eV/atom.

=====

Compound: ReOs3W
Source: the Alexandria database
Functional: PBE
Structure: optimized geometry

```
5
Lattice="4.6304 0.0000 0.0000 0.0000 4.6304 0.0000 0.0000 0.0000 4.6304" Properties=species:S:1:pos:R:3 pbc="T T T"
W 2.3152 2.3152 2.3152
Os 0.0000 0.0000 2.3152
Os 2.3152 0.0000 0.0000
Os 0.0000 2.3152 0.0000
Re 0.0000 0.0000 0.0000
```

Calculated values
The space group is Pm-3m. The energy above the most stable polymorph in this dataset comes out at 11.93 eV/f.u. The calculation puts the magnetization at 0.0 μB/cell. The value obtained for the formation energy is 2.607 eV/atom.

=====

Compound: SrLi4Tl2
Source: the Alexandria database
Functional: PBE
Structure: optimized geometry

```
7
Lattice="-0.1119 -1.6610 3.7612 4.1097 -0.1609 0.0513 0.3126 9.2953 4.1143" Properties=species:S:1:pos:R:3 pbc="T T T"
Li 0.1563 4.6476 2.0572
Li 2.1552 3.7367 3.9634
Li 2.2777 6.5479 2.9595
Li 0.0337 1.8364 3.0610
Sr 1.9989 -0.9110 1.9062
Tl 0.1694 5.8705 4.8466
Tl 2.1421 2.5139 1.1739
```

Calculated values
The space group is P-4m2. The energy above the most stable polymorph in this dataset comes out at 0.00 eV/f.u. The calculation puts the magnetization at 0.0 μB/cell. The value obtained for the formation energy is -0.180 eV/atom.

=====

Compound: CrAg2Cl
Source: the Alexandria database
Functional: PBE
Structure: optimized geometry

```
4
Lattice="-1.2892 2.7263 0.5137 -1.7412 -1.1524 -2.2358 -5.2331 -3.5912 5.9266" Properties=species:S:1:pos:R:3 pbc="T T T"
Cl -2.9592 -2.0308 3.3514
Cr -5.3971 -1.8770 3.5352
Ag -2.6447 0.0118 0.4181
Ag -5.1121 -3.5082 5.7895
```

Calculated values
The formation energy (no corrections) comes out at 112 meV per atom. The space group is Cmm2. The energy above the most stable polymorph in this dataset comes out at 0.20 eV/f.u. The calculation puts the magnetization at 4.1 μB/cell.

=====

Compound: Y6PuSc2
Source: the Alexandria database
Functional: PBE
Structure: optimized geometry

```
9
Lattice="7.1982 0.0000 0.0000 3.5991 6.2338 0.0000 3.5991 2.0779 6.2506" Properties=species:S:1:pos:R:3 pbc="T T T"
Y 5.5815 0.9330 1.7963
Y 9.0185 3.1052 4.3996
Y 5.3781 3.1047 4.3996
Y 3.5994 4.3673 1.7963
Y 1.6163 0.9335 1.7963
Y 7.1979 6.2576 4.3996
Pu 3.5991 2.0779 0.2603
Sc 7.1982 4.1559 1.6004
Sc 10.7972 6.2338 4.5724
```

Calculated values
The space group is R3m. The energy above the most stable polymorph in this dataset comes out at 2.00 eV/f.u. The calculation puts the magnetization at 4.1 μB/cell. The value obtained for the formation energy is 0.394 eV/atom.

=====

Compound: CdCoSe
Source: the Alexandria database
Functional: PBE
Structure: optimized geometry

```
3
Lattice="-2.9741 0.1361 3.0700 0.5952 -2.1469 3.6504 0.7696 2.1260 3.6299" Properties=species:S:1:pos:R:3 pbc="T T T"
Cd -0.8047 0.0576 5.1751
Se 0.0000 0.0000 0.0000
Co -1.2070 0.0865 7.7627
```

Calculated values
The formation energy (no corrections) comes out at 168 meV per atom. The space group is F-43m. The energy above the most stable polymorph in this dataset comes out at 0.56 eV/f.u. The calculation puts the magnetization at 0.8 μB/cell.

=====

Compound: KZrPb2
Source: the Alexandria database
Functional: PBE
Structure: optimized geometry

```
4
Lattice="-0.5681 2.9106 1.5787 0.1065 -2.2659 2.4781 11.3709 1.6607 1.0298" Properties=species:S:1:pos:R:3 pbc="T T T"
Zr 5.2234 0.7629 0.4731
K 8.2864 1.5663 2.7998
Pb 2.7652 0.7599 2.2997
Pb 0.3198 0.0467 0.0290
```

Calculated values
The space group is Cmm2. The energy above the most stable polymorph in this dataset comes out at 1.86 eV/f.u. The calculation puts the magnetization at 0.0 μB/cell. The value obtained for the formation energy is 0.314 eV/atom.

=====

Compound: K2BaVSe4
Source: the Alexandria database
Functional: PBE
Structure: optimized geometry

```
16
Lattice="-5.0350 -1.2544 -4.2375 3.5610 -8.7172 -1.6506 -5.1025 -3.4244 7.0766" Properties=species:S:1:pos:R:3 pbc="T T T"
Se -1.0976 -2.2896 -1.8993
Se -7.5707 -6.4811 1.1531
Se -4.6065 -2.7805 1.5395
Se -3.2851 -9.0575 2.1194
Se -1.4242 -9.4029 -5.5770
Se -4.6589 -4.5270 -2.8852
Se -1.0944 -7.5873 -0.9189
Se -4.1004 -9.6864 -1.4374
V -2.2780 -9.4458 -0.0070
V 0.5665 -1.6615 -0.3955
Ba -6.9563 -3.8285 -0.6620
Ba 0.9180 -8.3568 -3.3819
K -2.3909 -4.6115 -0.4065
K -6.4201 -9.4958 0.5312
K -4.5757 -6.0777 2.6236
K -3.5024 -7.5377 -3.5154
```

Calculated values
The formation energy (no corrections) comes out at -1144 meV per atom. The space group is Pmn2_1. The calculation puts the magnetization at 2.0 μB/cell.

=====

Compound: Ho5Al4Cu
Source: the Alexandria database
Functional: PBE
Structure: optimized geometry

```
10
Lattice="-0.4006 -2.1311 -2.6631 3.3306 0.3337 -0.7681 4.1018 -14.9043 11.3102" Properties=species:S:1:pos:R:3 pbc="T T T"
Al 3.3124 -12.0359 9.1334
Al 1.6305 -5.9246 4.4959
Al 2.4713 -8.9797 6.8143
Al 0.7894 -2.8685 2.1767
Ho 5.1933 -14.4457 8.5646
Ho 2.6766 -5.3010 1.6251
Ho 4.3553 -11.4007 6.2538
Ho 3.5159 -8.3509 3.9395
Ho 1.8385 -2.2560 -0.6856
Cu 0.0000 0.0000 0.0000
```

Calculated values
The space group is P4/mmm. The calculation puts the magnetization at 0.0 μB/cell. The value obtained for the formation energy is -0.366 eV/atom.